Entry 1:
## Rb4ScPa3Te8 (PBE)

Data for a geometry-optimized Rb4ScPa3Te8 structure.

The value obtained for the calculated density is 5.90 g cm⁻³. As for the total energy: -0.1827 Ha/atom. As for the magnetization: 5.9 μB/cell. Its uncorrected formation energy is -0.982 eV/atom.

Cell: 10.1212 10.1212 10.1212 Å, 51.77 51.77 51.77°
Closest atoms and distances in Å follow each position.
Fractional positions:
Rb 0.0000 0.0000 0.0000  6 Te 3.72
Rb 0.0000 0.5000 0.5000  6 Te 3.60-3.63
Rb 0.5000 0.0000 0.5000  6 Te 3.60-3.63
Rb 0.5000 0.5000 0.0000  6 Te 3.60-3.63
Sc 0.5000 0.5000 0.5000  6 Te 3.02-3.03
Pa 0.0000 0.0000 0.5000  6 Te 3.13-3.14
Pa 0.0000 0.5000 0.0000  6 Te 3.13-3.14
Pa 0.5000 0.0000 0.0000  6 Te 3.13-3.14
Te 0.2362 0.2362 0.2362  3 Pa 3.14
Te 0.2445 0.7279 0.7279  1 Sc 3.03, 2 Pa 3.13
Te 0.2721 0.2721 0.7555  1 Sc 3.02, 2 Pa 3.13
Te 0.2721 0.7555 0.2721  1 Sc 3.02, 2 Pa 3.13
Te 0.7279 0.2445 0.7279  1 Sc 3.02, 2 Pa 3.13
Te 0.7279 0.7279 0.2445  1 Sc 3.03, 2 Pa 3.13
Te 0.7555 0.2721 0.2721  1 Sc 3.03, 2 Pa 3.13
Te 0.7638 0.7638 0.7638  3 Pa 3.14

---

Entry 2:
## ScOs2Cl (PBE)

Data for a geometry-optimized ScOs2Cl structure.

The value obtained for the calculated density is 11.86 g cm⁻³. The offset from the most stable computed form comes out at 630.6 meV/atom. As for the total energy: -0.2625 Ha/atom. As for the magnetization: 0.0 μB/cell. Its uncorrected formation energy is 0.517 eV/atom.

Cell: 5.3899 5.3899 5.3899 Å, 147.89 128.46 62.03°
Closest atoms and distances in Å follow each position.
Fractional positions:
Sc 0.0000 0.0000 0.0000  2 Cl 2.65, 4 Os 2.79
Os 0.4751 0.4751 0.0000  2 Os 2.59, 2 Cl 2.66, 4 Sc 2.79
Os 0.7042 0.2042 0.5000  2 Os 2.59, 4 Cl 2.79
Cl 0.2371 0.7371 0.5000  2 Sc 2.65, 6 Os 2.66-2.79